Below is a relaxed PrSm2Ge2Pd2 crystal, with properties calculated at the GGA-PBE level.

Properties
Total moment, μB/atom: 0.00
Total energy, eV per atom: -5.620
ρ, g/cm³: 8.03

Unit cell a=4.5073 b=4.5073 c=28.2053 alpha=90.00 beta=90.00 gamma=120.00
Space group R-3m (No. 166, hexagonal axes)
Symmetry-distinct sites (fractional):
Pr 0.0000 0.0000 0.0000 x3
Sm 0.0000 0.0000 0.1254 x6
Ge 0.0000 0.0000 0.2581 x6
Pd 0.0000 0.0000 0.4008 x6

Below is a relaxed YReHg2 crystal, with properties calculated at the GGA-PBE level.

Properties
E above lowest polymorph, eV/f.u.: 0.15
Total moment, μB/atom: 0.06
Total energy, eV per atom: -4.558
ρ, g/cm³: 13.61

Unit cell a=4.297 b=4.297 c=4.471 alpha=90.00 beta=90.00 gamma=90.00
Space group P4/mmm (No. 123)
Symmetry-distinct sites (fractional):
Y 0.000 0.000 0.000 x1
Re 0.500 0.500 0.000 x1
Hg 0.000 0.500 0.500 x2

Below is a relaxed MgCd2Ni4 crystal, with properties calculated at the GGA-PBE level.

Properties
Total moment, μB/atom: 0.00
Total energy, eV per atom: -3.022
ρ, g/cm³: 6.54

Unit cell a=4.321 b=4.321 c=13.172 alpha=90.00 beta=90.00 gamma=90.00
Space group I4/mmm (No. 139)
Symmetry-distinct sites (fractional):
Mg 0.000 0.000 0.000 x2
Cd 0.000 0.000 0.372 x4
Ni 0.000 0.000 0.177 x4
Ni 0.000 0.500 0.000 x4

Below is a relaxed FePbAu2 crystal, with properties calculated at the GGA-PBE level.

Properties
Total moment, μB/atom: 0.78
Total energy, eV per atom: -4.405
ρ, g/cm³: 13.57

Unit cell a=9.063 b=3.303 c=5.503 alpha=90.00 beta=102.55 gamma=90.00
Space group Cm (No. 8)
Symmetry-distinct sites (fractional):
Fe 0.000 0.000 0.000 x2
Pb 0.252 0.500 0.302 x2
Au 0.012 0.500 0.597 x2
Au 0.264 0.000 0.837 x2

Below is a relaxed CeHfTiIr2 crystal, with properties calculated at the GGA-PBE level.

Properties
Total moment, μB/atom: 0.20
Total energy, eV per atom: -9.037
ρ, g/cm³: 11.84

Unit cell a=4.371 b=4.371 c=11.024 alpha=90.00 beta=90.00 gamma=90.00
Space group I-4m2 (No. 119)
Symmetry-distinct sites (fractional):
Ce 0.000 0.000 0.000 x2
Hf 0.000 0.500 0.250 x2
Ti 0.000 0.500 0.750 x2
Ir 0.000 0.000 0.380 x4

Below is a relaxed Ti2Nb2Fe crystal, with properties calculated at the GGA-PBE level.

Properties
E above lowest polymorph, eV/f.u.: 0.00
Total moment, μB/atom: 0.00
Total energy, eV per atom: -8.806
ρ, g/cm³: 6.69

Unit cell a=5.424 b=8.504 c=7.636 alpha=90.00 beta=107.88 gamma=90.00
Space group C2/m (No. 12)
Symmetry-distinct sites (fractional):
Ti 0.137 0.179 0.232 x8
Nb 0.201 0.500 0.389 x4
Nb 0.242 0.500 0.027 x4
Fe 0.000 0.243 0.500 x4

Below is a relaxed Ba2H2S2O crystal, with properties calculated at the GGA-PBE level.

Properties
Total moment, μB/atom: 0.00
Total energy, eV per atom: -4.849
ρ, g/cm³: 4.23

Unit cell a=8.995 b=7.856 c=4.196 alpha=90.00 beta=109.25 gamma=90.00
Space group C2/m (No. 12)
Symmetry-distinct sites (fractional):
Ba 0.000 0.240 0.000 x4
H 0.119 0.500 0.484 x4
S 0.207 0.000 0.643 x4
O 0.000 0.500 0.500 x2

Below is a relaxed TlI2NCl crystal, with properties calculated at the GGA-PBE level.

Properties
E above lowest polymorph, eV/f.u.: 0.00
Total moment, μB/atom: 0.03
Total energy, eV per atom: -2.420
ρ, g/cm³: 4.87
ΔE_f (raw), eV/atom: 0.71

Unit cell a=7.121 b=7.121 c=3.412 alpha=90.00 beta=90.00 gamma=90.00
Space group P4/mmm (No. 123)
Symmetry-distinct sites (fractional):
Tl 0.000 0.000 0.000 x1
I 0.000 0.500 0.500 x2
N 0.500 0.500 0.000 x1
Cl 0.500 0.500 0.500 x1